Computed, not measured: an optimized crystal structure of Ti3NbCo4 at the PBE level of DFT.

Lattice parameters (Å, degrees): 8.4540 5.7470 4.4337 90.00 90.00 90.00
Closest atoms and distances in Å follow each position.
Space group Pmma (No. 51)
Symmetry-distinct sites (fractional):
Ti1 0.0000 0.0000 0.0000 x2  8 Co 2.57-2.63, 2 Nb 2.87
Ti2 0.2500 0.0000 0.4571 x2  8 Co 2.49-2.77
Ti3 0.2500 0.5000 0.4608 x2  8 Co 2.51-2.81
Nb1 0.0000 0.5000 0.0000 x2  8 Co 2.59-2.65, 2 Ti 2.87
Co1 0.0000 0.2471 0.5000 x4  6 Ti 2.55-2.63, 2 Nb 2.65, 3 Co 2.82-2.84
Co2 0.2500 0.2458 0.9206 x4  5 Ti 2.49-2.77, 2 Nb 2.59

Summary:
Raw total energy in eV per atom: -8.0576
Mass density in kg/m³: 7281

Computed, not measured: an optimized crystal structure of Ba6NiSe2I3 at the PBE level of DFT.

Lattice parameters (Å, degrees): 8.3184 14.3944 8.7913 90.00 108.39 90.00
Closest atoms and distances in Å follow each position.
Space group C2/m (No. 12)
Symmetry-distinct sites (fractional):
Ba1 0.2258 0.1579 0.2032 x8  1 Ni 3.13, 2 Se 3.31-3.32
Ba2 0.2487 0.0000 0.7938 x4  1 Ni 3.15, 2 Se 3.32
Ni1 0.0000 0.0000 0.0000 x2  6 Ba 3.13-3.15
Se1 0.0000 0.3336 0.0000 x4  6 Ba 3.31-3.32
I1 0.0000 0.1730 0.5000 x4  6 Ba 3.67-3.77
I2 0.0000 0.5000 0.5000 x2  6 Ba 3.66-3.80

Summary:
Raw total energy in eV per atom: -3.7499
Mass density in kg/m³: 4725
Formation energy from raw total energies in eV/atom: -1.338